Entry from Alexandria via LeMat-Bulk: a PBEsol-optimized structure of LiCu5F12 (meta-GGA SCAN).

Cell: 4.623 4.623 9.133 Å, 90.00 90.00 90.73°
Site moments in Bohr magnetons follow the coordinates.
Positions (direct):
F1 0.307 0.693 0.000  0.11
F2 0.694 0.306 0.333  0.12
F3 0.807 0.807 0.500  0.12
F4 0.193 0.193 0.500  0.12
F5 0.800 0.800 0.171  0.12
F6 0.306 0.694 0.667  0.12
F7 0.200 0.200 0.171  0.12
F8 0.306 0.694 0.333  0.12
F9 0.694 0.306 0.667  0.12
F10 0.800 0.800 0.829  0.12
F11 0.693 0.307 0.000  0.11
F12 0.200 0.200 0.829  0.12
Cu1 0.500 0.500 0.163  0.96
Cu2 0.000 0.000 0.672  0.89
Cu3 0.500 0.500 0.500  0.85
Cu4 0.000 0.000 0.328  0.89
Cu5 0.500 0.500 0.837  0.96
Li1 0.000 0.000 0.000  0.00

Results
Its space-group type is Cmmm, No. 65. The value obtained for the total energy is -155.42 eV/cell.

=====

Entry from Alexandria via LeMat-Bulk: a PBEsol-optimized structure of MnOF (meta-GGA SCAN).

Cell: 3.732 4.302 5.429 Å, 113.34 110.11 90.00°
Site moments in Bohr magnetons follow the coordinates.
Positions (direct):
Mn1 0.634 0.384 0.267  3.74
Mn2 0.366 0.616 0.733  3.74
F1 0.575 0.825 0.150  0.09
F2 0.425 0.175 0.850  0.09
O1 0.837 0.587 0.674  0.05
O2 0.163 0.413 0.326  0.05

Results
Its space-group type is Imma, No. 74. The value obtained for the total energy is -70.69 eV/cell.

=====

Entry from Alexandria via LeMat-Bulk: a PBEsol-optimized structure of ReMo2 (meta-GGA SCAN).

Cell: 3.108 3.108 5.170 Å, 107.49 107.49 90.00°
Positions (direct):
Mo1 0.333 0.333 0.666
Mo2 0.667 0.667 0.334
Re1 0.000 0.000 0.000

Results
For the polymorph energy (0 for the lowest one), the calculation gives 10.9 meV per atom. As for the formation energy: 0.0228 eV/atom. Its space-group type is I4/mmm, No. 139.